1.
First-principles (PBE) data for a geometry-optimized Nd3Ga4Ir2 structure, as listed in Alexandria via LeMat-Bulk.

Computed properties:
total magnetic moment	0.00	μB/f.u.
calculated total energy	-5.590	eV per atom
SG	C2/m
energy of formation from the pure elements	-15.84	kcal/mol of atoms

Cell lengths 4.430, 5.944, 8.438 Å; angles 106.47, 90.00, 111.88 degrees
Element x y z (fractional)
Nd  0.000  0.000  0.000
Nd  0.377  0.754  0.306
Nd  0.623  0.246  0.694
Ir  0.682  0.364  0.355
Ir  0.318  0.636  0.645
Ga  0.720  0.441  0.076
Ga  0.900  0.801  0.589
Ga  0.100  0.199  0.411
Ga  0.280  0.559  0.924


2.
First-principles (PBE) data for a geometry-optimized Li2CeAu4 structure, as listed in Alexandria via LeMat-Bulk.

Computed properties:
total magnetic moment	1.32	μB/f.u.
calculated total energy	-3.757	eV per atom
SG	Immm
energy of formation from the pure elements	-11.29	kcal/mol of atoms

Cell lengths 4.690, 3.204, 9.682 Å; angles 99.52, 104.02, 90.00 degrees
Last column: magnetic moment on the atom in μB.
Element x y z (fractional)
Au  0.339  0.339  0.678  0.01
Au  0.077  0.577  0.154  0.01
Au  0.661  0.661  0.322  0.01
Au  0.923  0.423  0.846  0.01
Li  0.805  0.805  0.609  0.01
Li  0.195  0.195  0.391  0.01
Ce  0.500  0.000  0.000  0.96


3.
First-principles (PBE) data for a geometry-optimized GeTe2Cl structure, as listed in Alexandria via LeMat-Bulk.

Computed properties:
total magnetic moment	0.00	μB/f.u.
energy relative to the lowest polymorph listed for this composition	0.00	kcal/mol of atoms
calculated total energy	-3.432	eV per atom
SG	P2_1/m

Cell lengths 3.953, 5.959, 11.274 Å; angles 90.00, 90.00, 109.96 degrees
Element x y z (fractional)
Ge  0.061  0.121  0.250
Ge  0.939  0.879  0.750
Cl  0.849  0.712  0.250
Cl  0.151  0.288  0.750
Te  0.608  0.212  0.442
Te  0.392  0.788  0.942
Te  0.392  0.788  0.558
Te  0.608  0.212  0.058


4.
First-principles (PBE) data for a geometry-optimized GaWI2N structure, as listed in Alexandria via LeMat-Bulk.

Computed properties:
total magnetic moment	3.30	μB/f.u.
energy relative to the lowest polymorph listed for this composition	25.90	kcal/mol of atoms
calculated total energy	-4.080	eV per atom
SG	P4/mmm

Cell lengths 5.777, 5.777, 3.505 Å; angles 90.00, 90.00, 90.00 degrees
Last column: magnetic moment on the atom in μB.
Element x y z (fractional)
Ga  0.000  0.000  0.000  0.02
I  0.000  0.500  0.000  -0.08
I  0.500  0.000  0.000  -0.08
N  0.000  0.000  0.500  -0.05
W  0.500  0.500  0.500  2.62


5.
First-principles (PBE) data for a geometry-optimized Na4Hg2N structure, as listed in Alexandria via LeMat-Bulk.

Computed properties:
total magnetic moment	0.00	μB/f.u.
calculated total energy	-1.964	eV per atom
SG	I4/mmm

Cell lengths 4.748, 4.748, 8.697 Å; angles 74.16, 74.16, 90.00 degrees
Element x y z (fractional)
Na  0.146  0.146  0.708
Na  0.500  0.000  0.000
Na  0.854  0.854  0.292
Na  0.000  0.500  0.000
Hg  0.656  0.656  0.687
Hg  0.344  0.344  0.313
N  0.000  0.000  0.000


6.
First-principles (PBE) data for a geometry-optimized CsKIn2I5 structure, as listed in Alexandria via LeMat-Bulk.

Computed properties:
total magnetic moment	0.00	μB/f.u.
calculated total energy	-2.595	eV per atom
SG	P4/mmm

Cell lengths 6.286, 6.286, 10.987 Å; angles 90.00, 90.00, 90.00 degrees
Element x y z (fractional)
I  0.000  0.500  0.800
I  0.500  0.500  0.500
I  0.500  0.000  0.800
I  0.000  0.500  0.200
I  0.500  0.000  0.200
K  0.000  0.000  0.000
Cs  0.000  0.000  0.500
In  0.500  0.500  0.780
In  0.500  0.500  0.220


7.
First-principles (PBE) data for a geometry-optimized GaSnI2O structure, as listed in Alexandria via LeMat-Bulk.

Computed properties:
total magnetic moment	0.00	μB/f.u.
energy relative to the lowest polymorph listed for this composition	0.48	kcal/mol of atoms
calculated total energy	-3.435	eV per atom
SG	P4/mmm

Cell lengths 6.003, 6.003, 3.686 Å; angles 90.00, 90.00, 90.00 degrees
Element x y z (fractional)
I  0.500  0.000  0.000
I  0.000  0.500  0.000
Sn  0.500  0.500  0.500
O  0.000  0.000  0.500
Ga  0.000  0.000  0.000


8.
First-principles (PBE) data for a geometry-optimized LaPu3Al8 structure, as listed in Alexandria via LeMat-Bulk.

Computed properties:
total magnetic moment	5.39	μB/f.u.
energy relative to the lowest polymorph listed for this composition	0.53	kcal/mol of atoms
calculated total energy	-6.835	eV per atom
SG	P3m1
energy of formation from the pure elements	-7.99	kcal/mol of atoms

Cell lengths 5.647, 5.647, 8.870 Å; angles 90.00, 90.00, 120.00 degrees
Last column: magnetic moment on the atom in μB.
Element x y z (fractional)
Pu  0.667  0.333  0.077  5.17
Pu  0.000  0.000  0.930  -5.25
Pu  0.667  0.333  0.417  5.30
Al  0.506  0.494  0.755  0.00
Al  0.987  0.494  0.755  0.00
Al  0.506  0.013  0.755  0.00
Al  0.678  0.839  0.246  -0.02
Al  0.161  0.322  0.246  -0.02
Al  0.161  0.839  0.246  -0.02
Al  0.333  0.667  0.498  -0.01
Al  0.333  0.667  0.000  0.00
La  0.000  0.000  0.576  0.03


9.
First-principles (PBE) data for a geometry-optimized BeRe2Au structure, as listed in Alexandria via LeMat-Bulk.

Computed properties:
total magnetic moment	0.00	μB/f.u.
calculated total energy	-7.877	eV per atom
SG	P4mm
energy of formation from the pure elements	2.27	kcal/mol of atoms

Cell lengths 2.903, 2.903, 6.742 Å; angles 90.00, 90.00, 90.00 degrees
Element x y z (fractional)
Au  0.000  0.000  0.540
Re  0.500  0.500  0.215
Re  0.000  0.000  0.977
Be  0.500  0.500  0.767


10.
First-principles (PBE) data for a geometry-optimized Na2GaHOs structure, as listed in Alexandria via LeMat-Bulk.

Computed properties:
total magnetic moment	0.00	μB/f.u.
calculated total energy	-3.464	eV per atom
SG	P4/mmm

Cell lengths 3.765, 5.274, 3.765 Å; angles 90.00, 90.00, 90.00 degrees
Element x y z (fractional)
Na  0.500  0.000  0.000
Na  0.000  0.000  0.500
Os  0.500  0.500  0.500
Ga  0.000  0.500  0.000
H  0.000  0.000  0.000


11.
First-principles (PBE) data for a geometry-optimized PmGa3Ru2 structure, as listed in Alexandria via LeMat-Bulk.

Computed properties:
total magnetic moment	0.00	μB/f.u.
energy relative to the lowest polymorph listed for this composition	1.18	kcal/mol of atoms
calculated total energy	-5.834	eV per atom
SG	P6/mmm
energy of formation from the pure elements	-10.07	kcal/mol of atoms

Cell lengths 5.482, 5.482, 8.197 Å; angles 90.00, 90.00, 120.00 degrees
Element x y z (fractional)
Ga  0.499  0.000  0.750
Ga  0.000  0.501  0.250
Ga  0.501  0.000  0.250
Ga  0.499  0.499  0.250
Ga  0.000  0.499  0.750
Ga  0.501  0.501  0.750
Ru  0.667  0.333  0.000
Ru  0.667  0.333  0.500
Ru  0.333  0.667  0.500
Ru  0.333  0.667  0.000
Pm  0.000  0.000  0.500
Pm  0.000  0.000  0.000


12.
First-principles (PBE) data for a geometry-optimized HgHS3 structure, as listed in Alexandria via LeMat-Bulk.

Computed properties:
total magnetic moment	0.00	μB/f.u.
energy relative to the lowest polymorph listed for this composition	0.00	kcal/mol of atoms
calculated total energy	-3.250	eV per atom
SG	P-1

Cell lengths 4.454, 7.267, 9.804 Å; angles 92.28, 59.80, 106.73 degrees
Element x y z (fractional)
S  0.472  0.707  0.921
S  0.371  0.845  0.520
S  0.629  0.155  0.480
S  0.528  0.293  0.079
S  0.665  0.203  0.676
S  0.335  0.797  0.324
Hg  0.104  0.253  0.882
Hg  0.896  0.747  0.118
H  0.566  0.862  0.818
H  0.434  0.138  0.182


13.
First-principles (PBE) data for a geometry-optimized Tb2Er3ScSe6 structure, as listed in Alexandria via LeMat-Bulk.

Computed properties:
total magnetic moment	0.00	μB/f.u.
calculated total energy	-5.880	eV per atom
SG	C2/m

Cell lengths 4.024, 8.095, 9.011 Å; angles 103.06, 102.90, 90.00 degrees
Element x y z (fractional)
Se  0.335  0.413  0.670
Se  0.997  0.242  0.995
Se  0.665  0.587  0.330
Se  0.003  0.758  0.005
Se  0.662  0.077  0.324
Se  0.338  0.923  0.676
Sc  0.500  0.000  0.000
Er  0.500  0.500  0.000
Er  0.170  0.835  0.341
Er  0.830  0.165  0.659
Tb  0.167  0.334  0.334
Tb  0.833  0.666  0.666